## TbEuTmCd (PBE-GGA)

Data for a geometry-optimized TbEuTmCd structure.

Cell: 5.5324 5.5324 5.5324 Å, 60.00 60.00 60.00°
Last column: magnetic moment on the atom in μB.
Element x y z (fractional)
Cd 0.2500 0.2500 0.2500  -0.01
Tb 0.5000 0.5000 0.5000  0.00
Eu 0.0000 0.0000 0.0000  6.82
Tm 0.7500 0.7500 0.7500  0.05

## Properties
Total magnetic moment ... 7.1 μB/cell
Theoretical density ... 8.21 g cm⁻³
Volume ... 120 Å³/f.u.
Energy ... -5.08 eV per atom